Entry 1:
# Pm2Ho6ErSc

A geometry-optimized Pm2Ho6ErSc structure (PBE, Alexandria).

Cell: 9.5445 8.6405 8.6405 Å, 117.48 94.58 94.58°
Fractional positions:
Sc 0.2500 0.4098 0.5902
Sc 0.7500 0.5902 0.4098
Pm 0.9548 0.7013 0.8024
Pm 0.0452 0.2987 0.1976
Pm 0.4548 0.8024 0.7013
Pm 0.5452 0.1976 0.2987
Ho 0.8829 0.2945 0.5036
Ho 0.9428 0.8735 0.2540
Ho 0.0572 0.1265 0.7460
Ho 0.8092 0.4283 0.9886
Ho 0.6908 0.0114 0.5717
Ho 0.4428 0.2540 0.8735
Ho 0.1908 0.5717 0.0114
Ho 0.6171 0.4964 0.7055
Ho 0.3092 0.9886 0.4283
Ho 0.5572 0.7460 0.1265
Ho 0.1171 0.7055 0.4964
Ho 0.3829 0.5036 0.2945
Er 0.2500 0.9822 0.0178
Er 0.7500 0.0178 0.9822

Calculated values
V, A^3/atom: 31.234
Calculated formation energy, meV/atom: 123
Calculated total energy, eV for the cell shown: -93.27

***

Entry 2:
# MgPaCuTc

A geometry-optimized MgPaCuTc structure (PBE, Alexandria).

Cell: 4.6884 4.6884 4.6884 Å, 60.00 60.00 60.00°
Fractional positions:
Cu 0.2500 0.2500 0.2500
Tc 0.7500 0.7500 0.7500
Pa 0.5000 0.5000 0.5000
Mg 0.0000 0.0000 0.0000

Calculated values
V, A^3/atom: 18.218
Calculated formation energy, meV/atom: 53
Calculated total energy, eV for the cell shown: -25.34

***

Entry 3:
# Al5Rh

A geometry-optimized Al5Rh structure (PBE, Alexandria).

Cell: 3.7990 6.5863 8.0202 Å, 90.00 90.00 90.00°
Fractional positions:
Al 0.5000 0.9226 0.7500
Al 0.5000 0.3103 0.9512
Al 0.5000 0.6897 0.0488
Al 0.0000 0.0000 0.5000
Al 0.5000 0.0774 0.2500
Al 0.5000 0.3103 0.5488
Al 0.0000 0.0000 0.0000
Al 0.0000 0.4069 0.2500
Al 0.0000 0.5931 0.7500
Al 0.5000 0.6897 0.4512
Rh 0.0000 0.2118 0.7500
Rh 0.0000 0.7882 0.2500

Calculated values
V, A^3/atom: 16.723
Calculated formation energy, meV/atom: -387
Calculated total energy, eV for the cell shown: -56.78

***

Entry 4:
# Tl5SbTe4

A geometry-optimized Tl5SbTe4 structure (PBE, Alexandria).

Cell: 4.5835 8.2276 11.3692 Å, 118.90 101.63 90.00°
Fractional positions:
Te 0.6348 0.9703 0.2697
Te 0.9421 0.7035 0.8842
Te 0.0579 0.2965 0.1157
Te 0.3651 0.0297 0.7303
Sb 0.5000 0.0000 0.0000
Tl 0.1794 0.7637 0.3589
Tl 0.2002 0.2962 0.4003
Tl 0.5000 0.5000 0.0000
Tl 0.8206 0.2363 0.6411
Tl 0.7998 0.7038 0.5997

Calculated values
Formation energy without anion corrections, meV/atom: -238.6
V, A^3/atom: 36.527
Calculated total energy, eV for the cell shown: -30.91

***

Entry 5:
# Cd4AsS2Cl

A geometry-optimized Cd4AsS2Cl structure (PBE, Alexandria).

Cell: 7.9442 7.9442 8.1099 Å, 120.68 120.68 89.49°
Fractional positions:
Cd 0.7308 0.2276 0.9791
Cd 0.7419 0.7577 0.9995
Cd 0.2724 0.7692 0.5209
Cd 0.2577 0.2419 0.4995
Cd 0.2581 0.2423 0.0005
Cd 0.7276 0.2308 0.4791
Cd 0.7423 0.7581 0.5005
Cd 0.2692 0.7724 0.0209
Cl 0.0000 0.5000 0.5000
Cl 0.0000 0.5000 0.0000
S 0.5000 0.0000 0.5000
S 0.0000 0.0000 0.5000
S 0.5000 0.0000 0.0000
S 0.5000 0.5000 0.0000
As 0.0000 0.0000 0.0000
As 0.5000 0.5000 0.5000

Calculated values
Formation energy without anion corrections, meV/atom: -410.9
V, A^3/atom: 22.252
Calculated total energy, eV for the cell shown: -43.40

***

Entry 6:
# La8Sn2Rh3

A geometry-optimized La8Sn2Rh3 structure (PBE, Alexandria).

Cell: 5.0961 10.2651 9.3216 Å, 123.35 90.03 90.00°
Fractional positions:
Sn 0.5000 0.7438 0.4873
Sn 0.5000 0.2562 0.5127
La 0.4998 0.3557 0.2224
La 0.9997 0.6074 0.2143
La 0.0003 0.8857 0.7721
La 0.5002 0.1330 0.7776
La 0.4998 0.8670 0.2224
La 0.5002 0.6443 0.7776
La 0.0003 0.3926 0.7857
La 0.9997 0.1143 0.2279
Rh 0.0000 0.2498 0.9999
Rh 0.5000 0.0000 0.0000
Rh 0.0000 0.7502 0.0001

Calculated values
V, A^3/atom: 31.332
Calculated formation energy, meV/atom: -545
Calculated total energy, eV for the cell shown: -76.57

***

Entry 7:
# Mn3VCr6

A geometry-optimized Mn3VCr6 structure (PBE, Alexandria).

Cell: 6.1694 6.0350 6.5422 Å, 90.00 100.92 90.00°
Fractional positions:
V 0.0000 0.0000 0.0000
V 0.5000 0.5000 0.5000
Cr 0.2732 0.3409 0.8029
Cr 0.4153 0.2690 0.2080
Cr 0.0417 0.3858 0.1465
Cr 0.5847 0.7310 0.7920
Cr 0.9583 0.6142 0.8535
Cr 0.5417 0.1142 0.6465
Cr 0.0847 0.7690 0.2920
Cr 0.9153 0.2310 0.7080
Cr 0.7732 0.1591 0.3029
Cr 0.4583 0.8858 0.3535
Cr 0.2268 0.8409 0.6971
Cr 0.7268 0.6591 0.1971
Mn 0.0000 0.5000 0.5000
Mn 0.5000 0.0000 0.0000
Mn 0.8384 0.8619 0.5590
Mn 0.1616 0.1381 0.4410
Mn 0.3384 0.6381 0.0590
Mn 0.6616 0.3619 0.9410

Calculated values
V, A^3/atom: 11.959
Calculated formation energy, meV/atom: 232
Calculated total energy, eV for the cell shown: -184.10

***

Entry 8:
# AcLa4Pm2Pr

A geometry-optimized AcLa4Pm2Pr structure (PBE, Alexandria).

Cell: 5.2825 6.4836 9.9291 Å, 89.72 74.57 65.96°
Fractional positions:
Pm 0.7446 0.7564 0.7544
Pm 0.2554 0.2436 0.2456
Pr 0.0000 0.0000 0.0000
La 0.3734 0.3762 0.8769
La 0.1233 0.1244 0.6290
La 0.6266 0.6238 0.1231
La 0.8767 0.8756 0.3710
Ac 0.5000 0.5000 0.5000

Calculated values
V, A^3/atom: 37.163
Calculated formation energy, meV/atom: 22
Calculated total energy, eV for the cell shown: -37.92

***

> Which of these has the lowest V?

Mn3VCr6